## Tb3Dy3Th2 (GGA-PBE)

Data for a geometry-optimized Tb3Dy3Th2 structure.

Crystal system ... monoclinic
Energy of formation from the pure elements ... 0.03 eV/atom
Space-group type ... No. 12

a = 7.9722 Å, b = 7.9722 Å, c = 6.1547 Å
α = 105.09°, β = 105.09°, γ = 126.73°
Closest atoms and distances in Å follow each position.
Fractional coordinates of all 8 atoms:
Tb (0.0000, 0.0000, 0.0000)  2 Th 3.57, 6 Dy 3.57-3.58, 4 Tb 3.58
Tb (0.3718, 0.6282, 0.5000)  5 Dy 3.48-3.58, 4 Th 3.53-3.54, 3 Tb 3.58-3.65
Tb (0.6282, 0.3718, 0.5000)  5 Dy 3.48-3.58, 4 Th 3.53-3.54, 3 Tb 3.58-3.65
Dy (0.1277, 0.8723, 0.5000)  5 Tb 3.48-3.58, 4 Th 3.53-3.54, 3 Dy 3.58-3.64
Dy (0.5000, 0.5000, 0.0000)  2 Th 3.56, 6 Tb 3.57-3.58, 4 Dy 3.58
Dy (0.8723, 0.1277, 0.5000)  5 Tb 3.48-3.58, 4 Th 3.53-3.54, 3 Dy 3.58-3.64
Th (0.2503, 0.7497, 0.0000)  5 Tb 3.53-3.57, 5 Dy 3.53-3.56, 2 Th 3.57
Th (0.7497, 0.2503, 0.0000)  5 Tb 3.53-3.57, 5 Dy 3.53-3.56, 2 Th 3.57